The following is a DFT calculation (PBE with a Hubbard U) of a relaxed structure of Dy2MgMn4O8.

a b c (Å): 6.2658 6.2658 7.1371
angles (deg): 116.01 116.01 89.95
Atoms (fractional coordinates):
Dy1 0.0000 0.0000 0.0000
Dy2 0.7528 0.2472 0.5000
Mg1 0.5040 0.4960 0.0000
Mn1 0.3269 0.0709 0.6501
Mn2 0.3301 0.5835 0.6564
Mn3 0.4165 0.6699 0.3436
Mn4 0.9291 0.6731 0.3499
O1 0.1257 0.8654 0.7290
O2 0.1346 0.8743 0.2710
O3 0.1367 0.3960 0.2741
O4 0.1521 0.3713 0.7440
O5 0.5960 0.3698 0.7419
O6 0.6040 0.8633 0.7259
O7 0.6287 0.8479 0.2560
O8 0.6302 0.4040 0.2581

## Properties
Space group: C2
DFT total energy (eV per atom): -7.42